Record 1
# LaTbAgRh, relaxed, DFT GGA-PBE
data_LaTbAgRh
_cell_length_a 7.2501
_cell_length_b 7.2501
_cell_length_c 7.2501
_cell_angle_alpha 90.00
_cell_angle_beta 90.00
_cell_angle_gamma 90.00
_space_group_name_H-M_alt 'F -4 3 m'
_space_group_IT_number 216
_space_group_name_Hall 'F -4 2 3'
loop_
_atom_site_label
_atom_site_fract_x
_atom_site_fract_y
_atom_site_fract_z
La1 0.0000 0.0000 0.0000
Tb1 0.0000 0.0000 0.5000
Ag1 0.2500 0.2500 0.2500
Rh1 0.2500 0.2500 0.7500
# formation energy from the elements: -0.48 eV per atom
# total magnetization: 0.0 μB/f.u.

Record 2
# NaLiRhPb, relaxed, DFT GGA-PBE
data_NaLiRhPb
_cell_length_a 6.6597
_cell_length_b 6.6597
_cell_length_c 6.6597
_cell_angle_alpha 90.00
_cell_angle_beta 90.00
_cell_angle_gamma 90.00
_space_group_name_H-M_alt 'F -4 3 m'
_space_group_IT_number 216
_space_group_name_Hall 'F -4 2 3'
loop_
_atom_site_label
_atom_site_fract_x
_atom_site_fract_y
_atom_site_fract_z
Na1 0.0000 0.0000 0.0000
Li1 0.2500 0.2500 0.7500
Rh1 0.2500 0.2500 0.2500
Pb1 0.0000 0.0000 0.5000
# formation energy from the elements: -0.12 eV per atom
# total magnetization: 0.0 μB/f.u.

Record 3
# BeFeHg2, relaxed, DFT GGA-PBE
data_BeFeHg2
_cell_length_a 3.0453
_cell_length_b 3.0453
_cell_length_c 24.8603
_cell_angle_alpha 90.00
_cell_angle_beta 90.00
_cell_angle_gamma 120.00
_space_group_name_H-M_alt 'R -3 m'
_space_group_IT_number 166
_space_group_name_Hall '-R 3 2"'
loop_
_atom_site_label
_atom_site_fract_x
_atom_site_fract_y
_atom_site_fract_z
Be1 0.0000 0.0000 0.0000
Fe1 0.0000 0.0000 0.5000
Hg1 0.0000 0.0000 0.2559
# formation energy from the elements: 0.59 eV per atom
# total magnetization: 2.6 μB/f.u.